A geometry-optimized RbSe2S2 structure, computed with GGA-PBE.

Values from the calculation:
Uncorrected formation energy = 0.120 eV/atom
Energy = -3.12 eV/atom

abc: 5.320 5.320 9.516
angles: 90.00 90.00 90.00
Space group I4/mmm (No. 139)
Asymmetric unit:
Rb  0.000  0.000  0.000 [2 per cell]
Se  0.000  0.000  0.381 [4 per cell]
S  0.000  0.500  0.250 [4 per cell]